Entry 1:
The following is a PBE-GGA calculation of a geometry-optimized Tb2PaTc structure, from Alexandria via LeMat-Bulk.

Unit cell a=3.2639 b=3.2639 c=32.3558 alpha=90.00 beta=90.00 gamma=120.00
With the nearest neighbours (Å) after each atom.
Space group R-3m (No. 166, hexagonal axes)
Asymmetric unit:
Tb  0.0000  0.0000  0.1012 (multiplicity 6)  3 Tc 2.84
Pa  0.0000  0.0000  0.0000 (multiplicity 3)  6 Pa 3.26, 2 Tb 3.27
Tc  0.0000  0.0000  0.5000 (multiplicity 3)  6 Tb 2.84

* V: 299 Å³ per cell
* crystal system: trigonal
* electronic total energy: -82.856 eV per cell

=====

Entry 2:
The following is a PBE-GGA calculation of a geometry-optimized PuZn4Ag structure, from Alexandria via LeMat-Bulk.

Unit cell a=4.4331 b=4.4331 c=6.5493 alpha=90.00 beta=90.00 gamma=120.00
With the nearest neighbours (Å) after each atom.
Space group P6/mmm (No. 191)
Asymmetric unit:
Pu  0.0000  0.0000  0.0000 (multiplicity 1)  12 Zn 3.15, 2 Ag 3.27
Zn  0.3333  0.6667  0.2794 (multiplicity 4)  3 Zn 2.56
Ag  0.0000  0.0000  0.5000 (multiplicity 1)  12 Zn 2.94, 2 Pu 3.27

* V: 111 Å³ per cell
* crystal system: hexagonal
* electronic total energy: -22.669 eV per cell

=====

Entry 3:
The following is a PBE-GGA calculation of a geometry-optimized Tm2NiH structure, from Alexandria via LeMat-Bulk.

Unit cell a=3.7409 b=3.7409 c=17.6995 alpha=90.00 beta=90.00 gamma=120.00
With the nearest neighbours (Å) after each atom.
Space group R-3m (No. 166, hexagonal axes)
Asymmetric unit:
Tm  0.0000  0.0000  0.2440 (multiplicity 6)  3 H 2.56, 3 Ni 2.68
Ni  0.0000  0.0000  0.0000 (multiplicity 3)  6 Tm 2.68
H  0.0000  0.0000  0.5000 (multiplicity 3)  6 Tm 2.56

* V: 215 Å³ per cell
* crystal system: trigonal
* electronic total energy: -58.058 eV per cell

=====

Entry 4:
The following is a PBE-GGA calculation of a geometry-optimized GaRhOF2 structure, from Alexandria via LeMat-Bulk.

Unit cell a=4.0517 b=4.0517 c=3.7216 alpha=90.00 beta=90.00 gamma=90.00
With the nearest neighbours (Å) after each atom.
Space group P4/mmm (No. 123)
Asymmetric unit:
Ga  0.0000  0.0000  0.0000 (multiplicity 1)  2 O 1.86, 4 F 2.03
Rh  0.5000  0.5000  0.5000 (multiplicity 1)  8 F 2.75, 4 O 2.86
O  0.0000  0.0000  0.5000 (multiplicity 1)  2 Ga 1.86
F  0.0000  0.5000  0.0000 (multiplicity 2)  2 Ga 2.03

* V: 61 Å³ per cell
* crystal system: tetragonal
* electronic total energy: -24.038 eV per cell
* formation energy (no corrections): -0.99 eV per atom

=====

- V of number 3 (Tm2NiH)?
  215 Å³ per cell